Density functional theory data (SCAN) for a PBEsol-optimized structure of LiV3O4.

Calculated values
Distance to the lowest polymorph of the same formula in meV/atom: 0.0
Symmetry: Cmmm, No. 65
Volume in Å³ per atom: 8.656
Total moment in μB/f.u.: 2.54
Uncorrected formation energy in meV per atom: -2426
Crystal system: orthorhombic

Lattice parameters (Å, degrees): 2.855 5.044 5.050 107.78 90.00 90.00
Site moments in Bohr magnetons follow the coordinates.
Positions (direct):
Li 0.500 0.000 0.000  0.00
O 0.000 0.251 0.251  0.02
O 0.000 0.749 0.749  0.02
O 0.500 0.757 0.243  0.04
O 0.500 0.243 0.757  0.04
V 0.500 0.500 0.500  -2.09
V 0.000 0.500 0.000  2.17
V 0.000 0.000 0.500  2.17

***

Density functional theory data (SCAN) for a PBEsol-optimized structure of AlCdMo2.

Calculated values
Distance to the lowest polymorph of the same formula in meV/atom: 147.4
Symmetry: Cm, No. 8
Volume in Å³ per atom: 16.077
Total moment in μB/f.u.: 0.00
Crystal system: monoclinic
DFT formation energy in meV/atom: 208

Lattice parameters (Å, degrees): 2.725 4.866 5.078 95.62 90.00 106.26
Positions (direct):
Mo 0.001 0.002 0.982
Mo 0.245 0.489 0.760
Al 0.503 0.006 0.498
Cd 0.751 0.502 0.260

***

Density functional theory data (SCAN) for a PBEsol-optimized structure of CaCrTe3.

Calculated values
Symmetry: Pm-3m, No. 221
Volume in Å³ per atom: 36.547
Total moment in μB/f.u.: 2.47
Uncorrected formation energy in meV per atom: 289
Crystal system: cubic

Lattice parameters (Å, degrees): 5.675 5.675 5.675 90.00 90.00 90.00
Site moments in Bohr magnetons follow the coordinates.
Positions (direct):
Cr 0.500 0.500 0.500  4.35
Ca 0.000 0.000 0.000  0.00
Te 0.000 0.500 0.000  -0.49
Te 0.000 0.000 0.500  -0.49
Te 0.500 0.000 0.000  -0.49

***

Density functional theory data (SCAN) for a PBEsol-optimized structure of TlIn2Rh.

Calculated values
Distance to the lowest polymorph of the same formula in meV/atom: 305.5
Symmetry: I-4m2, No. 119
Volume in Å³ per atom: 20.061
Total moment in μB/f.u.: 0.00
Crystal system: tetragonal
DFT formation energy in meV/atom: 174

Lattice parameters (Å, degrees): 4.307 4.307 5.290 114.02 114.02 90.00
Positions (direct):
In 0.000 0.000 0.000
In 0.750 0.250 0.500
Rh 0.500 0.500 0.000
Tl 0.250 0.750 0.500

***

Density functional theory data (SCAN) for a PBEsol-optimized structure of K3IO5.

Calculated values
Symmetry: P4/nmm, No. 129
Volume in Å³ per atom: 17.576
Total moment in μB/f.u.: 0.00
Uncorrected formation energy in meV per atom: -1277
Crystal system: tetragonal

Lattice parameters (Å, degrees): 6.217 6.217 8.184 90.00 90.00 90.00
Positions (direct):
K 0.000 0.000 0.500
K 0.500 0.500 0.500
K 0.000 0.000 0.000
K 0.500 0.500 0.000
K 0.000 0.500 0.216
K 0.500 0.000 0.784
I 0.000 0.500 0.743
I 0.500 0.000 0.257
O 0.793 0.293 0.789
O 0.207 0.707 0.789
O 0.293 0.207 0.211
O 0.707 0.793 0.211
O 0.707 0.207 0.211
O 0.293 0.793 0.211
O 0.793 0.707 0.789
O 0.207 0.293 0.789
O 0.000 0.500 0.521
O 0.500 0.000 0.479

***

Density functional theory data (SCAN) for a PBEsol-optimized structure of BeAg3Ge.

Calculated values
Symmetry: Pm-3m, No. 221
Volume in Å³ per atom: 16.980
Total moment in μB/f.u.: 0.00
Crystal system: cubic
DFT formation energy in meV/atom: 455

Lattice parameters (Å, degrees): 4.395 4.395 4.395 90.00 90.00 90.00
Positions (direct):
Be 0.000 0.000 0.000
Ge 0.500 0.500 0.500
Ag 0.000 0.500 0.000
Ag 0.000 0.000 0.500
Ag 0.500 0.000 0.000

***

Density functional theory data (SCAN) for a PBEsol-optimized structure of Nb3BiB.

Calculated values
Symmetry: Pm-3m, No. 221
Volume in Å³ per atom: 26.288
Total moment in μB/f.u.: 0.00
Crystal system: cubic
DFT formation energy in meV/atom: 2850

Lattice parameters (Å, degrees): 5.084 5.084 5.084 90.00 90.00 90.00
Positions (direct):
Nb 0.000 0.500 0.000
Nb 0.000 0.000 0.500
Nb 0.500 0.000 0.000
B 0.500 0.500 0.500
Bi 0.000 0.000 0.000

***

Density functional theory data (SCAN) for a PBEsol-optimized structure of MgReSeN2.

Calculated values
Symmetry: P4/mmm, No. 123
Volume in Å³ per atom: 14.885
Total moment in μB/f.u.: 0.63
Uncorrected formation energy in meV per atom: 1750
Crystal system: tetragonal

Lattice parameters (Å, degrees): 3.893 3.893 4.911 90.00 90.00 90.00
Site moments in Bohr magnetons follow the coordinates.
Positions (direct):
Re 0.500 0.500 0.500  -3.09
Mg 0.000 0.000 0.000  -0.01
Se 0.000 0.000 0.500  0.16
N 0.000 0.500 0.000  1.11
N 0.500 0.000 0.000  1.11

***

Density functional theory data (SCAN) for a PBEsol-optimized structure of K2OsCl.

Calculated values
Distance to the lowest polymorph of the same formula in meV/atom: 139.5
Symmetry: Amm2, No. 38
Volume in Å³ per atom: 25.058
Total moment in μB/f.u.: 1.34
Uncorrected formation energy in meV per atom: 395
Crystal system: orthorhombic

Lattice parameters (Å, degrees): 2.730 5.947 6.323 89.96 102.47 90.00
Site moments in Bohr magnetons follow the coordinates.
Positions (direct):
K 0.010 0.125 0.019  0.00
K 0.246 0.625 0.493  0.00
Os 0.500 0.625 0.001  0.95
Cl 0.744 0.125 0.487  0.10

***

Density functional theory data (SCAN) for a PBEsol-optimized structure of Zr2BeAg.

Calculated values
Symmetry: P4mm, No. 99
Volume in Å³ per atom: 17.277
Total moment in μB/f.u.: 0.00
Crystal system: tetragonal
DFT formation energy in meV/atom: -27

Lattice parameters (Å, degrees): 3.010 3.010 7.628 90.00 90.00 90.00
Positions (direct):
Be 0.500 0.500 0.715
Zr 0.000 0.000 0.964
Zr 0.500 0.500 0.266
Ag 0.000 0.000 0.555

***

Density functional theory data (SCAN) for a PBEsol-optimized structure of KYMn.

Calculated values
Symmetry: P3m1, No. 156
Volume in Å³ per atom: 28.124
Total moment in μB/f.u.: 4.27
Crystal system: trigonal
DFT formation energy in meV/atom: 695

Lattice parameters (Å, degrees): 3.230 5.492 5.492 120.00 90.00 90.00
Site moments in Bohr magnetons follow the coordinates.
Positions (direct):
K 0.970 0.000 0.000  -0.01
Mn 0.722 0.333 0.667  4.36
Y 0.308 0.667 0.333  -0.23

***

Density functional theory data (SCAN) for a PBEsol-optimized structure of ZnCu2SiTe4.

Calculated values
Symmetry: I-42m, No. 121
Volume in Å³ per atom: 25.984
Total moment in μB/f.u.: 0.00
Uncorrected formation energy in meV per atom: -183
Crystal system: tetragonal

Lattice parameters (Å, degrees): 5.941 5.941 7.235 114.24 114.24 90.00
Positions (direct):
Zn 0.000 0.000 0.000
Te 0.126 0.612 0.738
Te 0.388 0.388 0.262
Te 0.874 0.874 0.262
Te 0.612 0.126 0.738
Si 0.500 0.500 0.000
Cu 0.750 0.250 0.500
Cu 0.250 0.750 0.500